ZrMnAl2Se | GGA-PBEsol | relaxed

```
5
Lattice="5.2449 0.0000 0.0000 0.0000 5.2449 0.0000 0.0000 0.0000 4.9784" Properties=species:S:1:pos:R:3 pbc="T T T"
Zr 0.0000 0.0000 0.0000
Mn 2.6225 2.6225 2.4892
Al 0.0000 2.6225 0.0000
Al 2.6225 0.0000 0.0000
Se 0.0000 0.0000 2.4892
```

## Properties
Calculated volume: 27.4 A^3/atom
Magnetization: 0.998 μB per atom
Space group: P4/mmm
E: -26.6 eV/cell



ZrSc | GGA-PBEsol | relaxed

```
4
Lattice="5.2295 -1.5758 0.0000 5.2295 1.5758 0.0000 -0.9367 0.0000 5.4553" Properties=species:S:1:pos:R:3 pbc="T T T"
Zr 0.9425 0.0000 2.0946
Zr 8.5799 0.0000 3.3607
Sc 3.8206 0.0000 0.6914
Sc 5.7018 0.0000 4.7640
```

## Properties
Formation enthalpy at 0 K: 6 kJ/mol of formula units
Calculated volume: 22.5 A^3/atom
Magnetization: 0.000 μB per atom
Space group: C2/m



KHgIr | GGA-PBEsol | relaxed

```
3
Lattice="0.0000 3.3223 3.3223 3.3223 0.0000 3.3223 3.3223 3.3223 0.0000" Properties=species:S:1:pos:R:3 pbc="T T T"
K 0.0000 0.0000 0.0000
Hg 3.3223 3.3223 3.3223
Ir 1.6611 1.6611 1.6611
```

## Properties
Formation enthalpy at 0 K: 279 kJ/mol of formula units
Calculated volume: 24.4 A^3/atom
Magnetization: 0.000 μB per atom
Excess energy over the best structure of this formula in the dataset: 418.0 meV/atom
Space group: F-43m



V3CoSb2P6O24 | GGA-PBEsol | relaxed

```
36
Lattice="4.2822 2.4723 7.2005 -4.2822 2.4723 7.2005 0.0000 -4.9447 7.2005" Properties=species:S:1:pos:R:3 pbc="T T T"
V 0.0000 0.0000 0.0000
V 0.0000 0.0000 4.5183
V 0.0000 0.0000 10.8667
Co 0.0000 0.0000 15.2509
Sb 0.0000 0.0000 7.6063
Sb 0.0000 0.0000 18.2618
P -3.0335 0.3567 9.4985
P -1.2382 -2.1515 13.1295
P 1.2078 -2.8054 9.4985
P -1.2442 2.1481 13.1295
P 1.8257 2.4487 9.4985
P 2.4824 0.0034 13.1295
O -3.3903 1.0944 8.2165
O -0.7911 -1.2448 5.8709
O -2.7860 -2.2815 13.1047
O -3.4529 1.0819 10.7731
O 0.7474 -3.4833 8.2165
O -1.4923 0.1292 9.4880
O -0.6825 1.3075 5.8709
O 0.7895 -3.5313 10.7731
O -0.8621 -1.4048 11.8451
O 0.6342 -1.3570 9.4880
O 1.4736 -0.0627 5.8709
O -0.6944 -1.6007 14.4243
O -0.7855 1.4490 11.8451
O -1.5111 -0.2318 16.7596
O 0.8581 1.2278 9.4880
O -1.0390 1.4017 14.4243
O 1.6476 -0.0442 11.8451
O -0.5829 3.5535 13.1047
O 0.9563 -1.1927 16.7595
O 2.6429 2.3889 8.2165
O 1.7335 0.1990 14.4243
O 3.3689 -1.2720 13.1047
O 0.5548 1.4245 16.7595
O 2.6635 2.4494 10.7731
```

## Properties
Calculated volume: 12.7 A^3/atom
Magnetization: 0.227 μB per atom
Space group: R3
E: -278.5 eV/cell



AgPtIN2 | GGA-PBEsol | relaxed

```
5
Lattice="3.8930 0.0000 0.0000 0.0000 3.8930 0.0000 0.0000 0.0000 6.8535" Properties=species:S:1:pos:R:3 pbc="T T T"
Ag 0.0000 0.0000 0.0000
Pt 1.9465 1.9465 3.4268
I 0.0000 0.0000 3.4268
N 0.0000 1.9465 0.0000
N 1.9465 0.0000 0.0000
```

## Properties
Calculated volume: 20.8 A^3/atom
Magnetization: 0.734 μB per atom
Space group: P4/mmm
E: -19.7 eV/cell



Ag4SbPb | GGA-PBEsol | relaxed

```
6
Lattice="0.0000 3.9349 3.9349 3.9349 0.0000 3.9349 3.9349 3.9349 0.0000" Properties=species:S:1:pos:R:3 pbc="T T T"
Ag 0.9836 0.9836 0.9836
Ag 2.9513 2.9513 0.9836
Ag 2.9513 0.9836 2.9513
Ag 0.9836 2.9513 2.9513
Sb 3.9349 3.9349 3.9349
Pb 5.9023 5.9023 5.9023
```

## Properties
Calculated volume: 20.3 A^3/atom
Magnetization: 0.000 μB per atom
Space group: F-43m
E: -21.4 eV/cell



CsRb2AgBr | GGA-PBEsol | relaxed

```
5
Lattice="6.2920 0.0000 0.0000 0.0000 6.2920 0.0000 0.0000 0.0000 7.9854" Properties=species:S:1:pos:R:3 pbc="T T T"
Cs 0.0000 0.0000 0.0000
Rb 0.0000 3.1460 3.9927
Rb 3.1460 0.0000 3.9927
Ag 3.1460 3.1460 0.0000
Br 3.1460 3.1460 3.9927
```

## Properties
Calculated volume: 63.2 A^3/atom
Magnetization: 0.152 μB per atom
Space group: P4/mmm
E: -9.7 eV/cell



NdGdHg2 | GGA-PBEsol | relaxed

```
4
Lattice="0.0000 3.7204 3.7204 3.7204 0.0000 3.7204 3.7204 3.7204 0.0000" Properties=species:S:1:pos:R:3 pbc="T T T"
Nd 0.0000 0.0000 0.0000
Gd 3.7204 3.7204 3.7204
Hg 1.8602 1.8602 1.8602
Hg 5.5805 5.5805 5.5805
```

## Properties
Formation enthalpy at 0 K: -220 kJ/mol of formula units
Calculated volume: 25.7 A^3/atom
Magnetization: 1.985 μB per atom
Space group: Fm-3m



> What is the formula in the fourth record?

V3CoSb2P6O24



> Among the records above, which one has the highest magnetization?

NdGdHg2